Below is LaBeSi2Os2 after structural relaxation, with properties calculated at the PBE-GGA level.

Cell: 4.2741 4.2741 5.3791 Å, 90.00 90.00 90.00°
Space group P4/mmm (No. 123)
Symmetry-distinct sites (fractional):
La1 0.0000 0.0000 0.0000 (multiplicity 1)
Be1 0.0000 0.0000 0.5000 (multiplicity 1)
Si1 0.5000 0.5000 0.2404 (multiplicity 2)
Os1 0.0000 0.5000 0.5000 (multiplicity 2)

## Properties
- raw formation energy (eV/atom) = -0.46
- magnetic moment (μB per formula unit) = 0.00
- VASP energy (eV/f.u.) = -44.7